1.
GaTeO2, relaxed, DFT PBE; space group = R-3m, No. 166; density = 6.79 g cm⁻³; raw formation energy = -1.1034 eV/atom; ΔE to the lowest computed polymorph = 0.000 eV per atom; D(E_F) = 1.03 states/eV/f.u.
1.0
2.904 -3.618 4.981
5.006 -1.353 4.408
2.540 -0.774 6.267
O Ga Te
2 1 1
direct
0.884 0.884 0.884
0.116 0.116 0.116
0.500 0.500 0.500
0.000 0.000 0.000



2.
Ga2Te2O, relaxed, DFT PBE; space group = P4/mbm, No. 127; density = 6.08 g cm⁻³; raw formation energy = 0.0288 eV/atom; ΔE to the lowest computed polymorph = 0.463 eV per atom; D(E_F) = 2.52 states/eV/f.u.
1.0
7.140 0.000 0.000
0.000 7.140 0.000
0.000 0.000 4.402
Ga Te O
4 4 2
direct
0.376 0.124 0.500
0.124 0.624 0.500
0.876 0.376 0.500
0.624 0.876 0.500
0.284 0.784 0.000
0.216 0.284 0.000
0.784 0.716 0.000
0.716 0.216 0.000
0.000 0.000 0.000
0.500 0.500 0.000